The following is a DFT calculation (PBE) of an optimized crystal structure of Sr5Bi3.

Cell lengths 9.772, 9.772, 7.561 Å; angles 90.00, 90.00, 120.00 degrees
Element x y z (fractional)
Sr: 0.333 0.667 0.000
Sr: 0.667 0.333 0.500
Sr: 0.667 0.333 0.000
Sr: 0.333 0.667 0.500
Sr: 0.748 0.000 0.250
Sr: 0.748 0.748 0.750
Sr: 0.000 0.252 0.750
Sr: 0.000 0.748 0.250
Sr: 0.252 0.252 0.250
Sr: 0.252 0.000 0.750
Bi: 0.391 0.000 0.250
Bi: 0.391 0.391 0.750
Bi: 0.000 0.609 0.750
Bi: 0.000 0.391 0.250
Bi: 0.609 0.609 0.250
Bi: 0.609 0.000 0.750

Computed properties:
polymorph energy (0 for the lowest one): 0.0 meV per atom
Fermi-level density of states: 0.107 states/eV per atom
total magnetic moment: 0.85 μB/f.u.
energy relative to the elements: -680 kJ/mol of formula units



The following is a DFT calculation (PBE) of an optimized crystal structure of LiMg2H5.

Cell lengths 3.136, 7.162, 13.520 Å; angles 90.00, 90.00, 90.00 degrees
Element x y z (fractional)
Li: 0.750 0.427 0.074
Li: 0.250 0.073 0.574
Li: 0.750 0.927 0.426
Li: 0.250 0.573 0.926
Mg: 0.750 0.352 0.441
Mg: 0.750 0.309 0.743
Mg: 0.250 0.191 0.243
Mg: 0.250 0.148 0.941
Mg: 0.750 0.852 0.059
Mg: 0.750 0.809 0.757
Mg: 0.250 0.691 0.257
Mg: 0.250 0.648 0.559
H: 0.250 0.435 0.327
H: 0.250 0.373 0.022
H: 0.250 0.355 0.840
H: 0.250 0.383 0.519
H: 0.750 0.274 0.180
H: 0.250 0.226 0.680
H: 0.750 0.117 0.019
H: 0.750 0.145 0.340
H: 0.750 0.127 0.522
H: 0.750 0.065 0.827
H: 0.250 0.935 0.173
H: 0.250 0.873 0.478
H: 0.250 0.855 0.660
H: 0.250 0.883 0.981
H: 0.750 0.774 0.320
H: 0.250 0.726 0.820
H: 0.750 0.617 0.481
H: 0.750 0.645 0.160
H: 0.750 0.627 0.978
H: 0.750 0.565 0.673

Computed properties:
energy: -93.21 eV for the cell shown
total magnetic moment: 0.00 μB/f.u.



The following is a DFT calculation (PBE) of an optimized crystal structure of MnMoAu2.

Cell lengths 4.922, 4.922, 2.802 Å; angles 90.00, 90.00, 90.00 degrees
Element x y z (fractional)
Au: 0.000 0.000 0.000
Au: 0.500 0.500 0.000
Mn: 0.500 0.000 0.500
Mo: 0.000 0.500 0.500

Computed properties:
polymorph energy (0 for the lowest one): 159.5 meV per atom
Fermi-level density of states: 0.885 states/eV per atom
total magnetic moment: 3.47 μB/f.u.
energy relative to the elements: 113 kJ/mol of formula units



The following is a DFT calculation (PBE) of an optimized crystal structure of FeCoRu.

Cell lengths 6.570, 6.377, 2.572 Å; angles 82.80, 74.34, 22.86 degrees
Element x y z (fractional)
Co: 0.994 0.994 0.006
Fe: 0.339 0.339 0.661
Ru: 0.667 0.667 0.333

Computed properties:
polymorph energy (0 for the lowest one): 113.4 meV per atom
Fermi-level density of states: 1.452 states/eV per atom
total magnetic moment: 5.13 μB/f.u.
energy relative to the elements: 69 kJ/mol of formula units



The lowest total magnetic moment belongs to which entry? LiMg2H5



What is the formula in the third record? MnMoAu2